# 1
# PmMg3Pt, optimized geometry, DFT PBE
# Total energy ... -3.4432 eV per atom
# Polymorph energy (0 for the lowest one) ... 18.9 kJ/mol of atoms
# Energy relative to the elements ... -0.328 eV per atom
data_PmMg3Pt
_chemical_formula_sum 'Pm1 Mg3 Pt1'
_cell_length_a 4.9998
_cell_length_b 4.9998
_cell_length_c 4.9998
_cell_angle_alpha 90.00
_cell_angle_beta 90.00
_cell_angle_gamma 90.00
_symmetry_space_group_name_H-M 'P 1'
_symmetry_Int_Tables_number 1
loop_
_symmetry_equiv_pos_as_xyz
'x,y,z'
loop_
_atom_site_label
_atom_site_type_symbol
_atom_site_fract_x
_atom_site_fract_y
_atom_site_fract_z
Pm1 Pm 0.0000 0.0000 0.0000
Mg1 Mg 0.0000 0.5000 0.5000
Mg2 Mg 0.5000 0.0000 0.5000
Mg3 Mg 0.5000 0.5000 0.0000
Pt1 Pt 0.5000 0.5000 0.5000

***

# 2
# Cr2ReTcPb, optimized geometry, DFT PBE
# Total energy ... -7.8889 eV per atom
# Energy relative to the elements ... 1.265 eV per atom
data_Cr2ReTcPb
_chemical_formula_sum 'Cr2 Re1 Tc1 Pb1'
_cell_length_a 4.7525
_cell_length_b 4.7525
_cell_length_c 4.7188
_cell_angle_alpha 90.00
_cell_angle_beta 90.00
_cell_angle_gamma 90.00
_symmetry_space_group_name_H-M 'P 1'
_symmetry_Int_Tables_number 1
loop_
_symmetry_equiv_pos_as_xyz
'x,y,z'
loop_
_atom_site_label
_atom_site_type_symbol
_atom_site_fract_x
_atom_site_fract_y
_atom_site_fract_z
Cr1 Cr 0.0000 0.5000 0.0000
Cr2 Cr 0.5000 0.0000 0.0000
Re1 Re 0.0000 0.0000 0.0000
Tc1 Tc 0.0000 0.0000 0.5000
Pb1 Pb 0.5000 0.5000 0.5000

***

# 3
# Rb4Pu3HgO12, optimized geometry, DFT PBE
# Total energy ... -7.4923 eV per atom
# ΔE_f (raw) ... -2.159 eV per atom
data_Rb4Pu3HgO12
_chemical_formula_sum 'Rb4 Pu3 Hg1 O12'
_cell_length_a 7.5353
_cell_length_b 7.5353
_cell_length_c 7.5353
_cell_angle_alpha 109.47
_cell_angle_beta 109.47
_cell_angle_gamma 109.47
_symmetry_space_group_name_H-M 'P 1'
_symmetry_Int_Tables_number 1
loop_
_symmetry_equiv_pos_as_xyz
'x,y,z'
loop_
_atom_site_label
_atom_site_type_symbol
_atom_site_fract_x
_atom_site_fract_y
_atom_site_fract_z
Rb1 Rb 0.0000 0.0000 0.5000
Rb2 Rb 0.0000 0.5000 0.0000
Rb3 Rb 0.5000 0.0000 0.0000
Rb4 Rb 0.5000 0.5000 0.5000
Pu1 Pu 0.0000 0.5000 0.5000
Pu2 Pu 0.5000 0.0000 0.5000
Pu3 Pu 0.5000 0.5000 0.0000
Hg1 Hg 0.0000 0.0000 0.0000
O1 O 0.0000 0.2780 0.2780
O2 O 0.0000 0.7220 0.7220
O3 O 0.2500 0.5000 0.7500
O4 O 0.2500 0.7500 0.5000
O5 O 0.2780 0.0000 0.2780
O6 O 0.2780 0.2780 0.0000
O7 O 0.5000 0.2500 0.7500
O8 O 0.5000 0.7500 0.2500
O9 O 0.7220 0.0000 0.7220
O10 O 0.7220 0.7220 0.0000
O11 O 0.7500 0.2500 0.5000
O12 O 0.7500 0.5000 0.2500

***

# 4
# Tl2AsCl, optimized geometry, DFT PBE
# Total energy ... -3.0609 eV per atom
# ΔE_f (raw) ... -0.254 eV per atom
# Polymorph energy (0 for the lowest one) ... 7.7 kJ/mol of atoms
data_Tl2AsCl
_chemical_formula_sum 'Tl4 As2 Cl2'
_cell_length_a 11.5979
_cell_length_b 3.5453
_cell_length_c 5.2985
_cell_angle_alpha 90.00
_cell_angle_beta 90.02
_cell_angle_gamma 90.00
_symmetry_space_group_name_H-M 'P 1'
_symmetry_Int_Tables_number 1
loop_
_symmetry_equiv_pos_as_xyz
'x,y,z'
loop_
_atom_site_label
_atom_site_type_symbol
_atom_site_fract_x
_atom_site_fract_y
_atom_site_fract_z
Tl1 Tl 0.0000 0.0000 0.0000
Tl2 Tl 0.2426 0.0000 0.5010
Tl3 Tl 0.5000 0.5000 0.0000
Tl4 Tl 0.7426 0.5000 0.5010
As1 As 0.2345 0.5000 0.0006
As2 As 0.7345 0.0000 0.0006
Cl1 Cl 0.4961 0.0000 0.4995
Cl2 Cl 0.9961 0.5000 0.4995